{"formula": "CsAl2MoPd", "functional": "PBE", "state": "relaxed", "lattice_angstrom": [[-4.0616, 4.0908, -0.6726], [-3.7049, -3.5809, 0.5935], [0.0037, 0.9452, 5.7263]], "species": ["Pd", "Cs", "Mo", "Al", "Al"], "frac_coords": [[0.0000, 0.5000, 0.0000], [0.0000, 0.0000, 0.0000], [0.5000, 0.5000, 0.5000], [0.0000, 0.0000, 0.5000], [0.5000, 0.0000, 0.0000]], "final_energy_ev_per_cell": -12.9, "delta_e_f_ev_per_atom": 2.2835, "crystal_system": "tetragonal", "total_magnetization_mub_per_cell": 4.46}